This record from Alexandria via LeMat-Bulk describes a relaxed structure of CsTcSe2O8. The functional is PBE-GGA.

ΔE_f (raw): -11.73 eV/f.u.
DFT total energy: -5.80 eV/atom

Cell: 5.5241 5.5241 8.5369 Å, 71.12 71.12 60.00°
Closest atoms and distances in Å follow each position.
Fractional coordinates of all 12 atoms:
Se 0.2812 0.2812 0.1563  1 O 1.64
O 0.6659 0.2367 0.1373  1 Tc 1.92, 1 Se 1.97
O 0.9601 0.6659 0.1373  1 Tc 1.92, 1 Se 1.97
O 0.3341 0.7633 0.8627  1 Tc 1.92, 1 Se 1.97
O 0.7879 0.7879 0.6363  1 Se 1.64
O 0.2121 0.2121 0.3637  1 Se 1.64
O 0.2367 0.9601 0.1373  1 Tc 1.92, 1 Se 1.97
Cs 0.5000 0.5000 0.5000  12 O 3.37-3.51
O 0.7633 0.0399 0.8627  1 Tc 1.92, 1 Se 1.97
Se 0.7188 0.7188 0.8437  1 O 1.64
Tc 0.0000 0.0000 0.0000  6 O 1.92
O 0.0399 0.3341 0.8627  1 Tc 1.92, 1 Se 1.97

---

This record from Alexandria via LeMat-Bulk describes a relaxed structure of CsTeSeO6. The functional is PBE-GGA.

ΔE_f (raw): -8.43 eV/f.u.
DFT total energy: -5.07 eV/atom

Cell: 5.2557 5.2557 6.9163 Å, 90.00 90.00 60.00°
Closest atoms and distances in Å follow each position.
Fractional coordinates of all 9 atoms:
O 0.9994 0.6104 0.6617  1 Se 1.97, 1 Te 1.97
Te 0.3333 0.3333 0.5000  6 O 1.97
Se 0.6666 0.6667 0.5000  6 O 1.97
Cs 0.0000 0.0000 0.0000  6 O 3.11
O 0.6104 0.9995 0.3383  1 Se 1.97, 1 Te 1.97
O 0.6103 0.3902 0.6617  1 Se 1.97, 1 Te 1.97
O 0.3901 0.6104 0.3383  1 Se 1.97, 1 Te 1.97
O 0.3901 0.9995 0.6617  1 Se 1.97, 1 Te 1.97
O 0.9994 0.3901 0.3383  1 Se 1.97, 1 Te 1.97

---

This record from Alexandria via LeMat-Bulk describes a relaxed structure of CsTe2SeO8. The functional is PBE-GGA.

ΔE_f (raw): -9.20 eV/f.u.
DFT total energy: -4.96 eV/atom

Cell: 5.5622 6.5541 8.2551 Å, 65.30 70.31 64.89°
Closest atoms and distances in Å follow each position.
Fractional coordinates of all 12 atoms:
O 0.8520 0.6339 0.6622  1 Te 1.81
O 0.6491 0.0301 0.1786  1 Te 1.91, 1 Se 2.00
O 0.3068 0.4711 0.9153  1 Te 1.83
O 0.3509 0.9699 0.8214  1 Te 1.91, 1 Se 2.00
O 0.1480 0.3661 0.3378  1 Te 1.81
Se 0.0000 0.0000 0.0000  4 O 2.00
O 0.8579 0.9699 0.8214  1 Te 1.91, 1 Se 2.00
Cs 0.5000 0.5000 0.5000  6 O 3.18-3.26
O 0.1421 0.0301 0.1786  1 Te 1.91, 1 Se 2.00
O 0.6932 0.5289 0.0847  1 Te 1.83
Te 0.7009 0.7433 0.8549  4 O 1.81-1.91
Te 0.2991 0.2567 0.1451  4 O 1.81-1.91

---

This record from Alexandria via LeMat-Bulk describes a relaxed structure of CsThSe2O8. The functional is PBE-GGA.

ΔE_f (raw): -18.54 eV/f.u.
DFT total energy: -6.12 eV/atom

Cell: 5.7062 5.7062 9.1495 Å, 87.24 87.24 64.92°
Closest atoms and distances in Å follow each position.
Fractional coordinates of all 12 atoms:
Se 0.3678 0.3678 0.7890  4 O 1.66-1.78
Se 0.6322 0.6322 0.2110  4 O 1.66-1.78
O 0.7708 0.7708 0.0808  1 Se 1.74
O 0.7062 0.2130 0.8193  1 Se 1.78
O 0.6865 0.6865 0.3794  1 Se 1.66
O 0.2292 0.2292 0.9192  1 Se 1.74
Cs 0.0000 0.0000 0.5000  6 O 3.27-3.31
O 0.7870 0.2938 0.1807  1 Se 1.78
O 0.2130 0.7062 0.8193  1 Se 1.78
O 0.3135 0.3135 0.6206  1 Se 1.66
O 0.2938 0.7870 0.1807  1 Se 1.78
Th 0.0000 0.0000 0.0000  6 O 2.29-2.32

---

This record from Alexandria via LeMat-Bulk describes a relaxed structure of CsTiSe2O8. The functional is PBE-GGA.

ΔE_f (raw): -16.27 eV/f.u.
DFT total energy: -5.97 eV/atom

Cell: 5.2061 5.2061 8.8983 Å, 85.89 85.89 64.74°
Closest atoms and distances in Å follow each position.
Fractional coordinates of all 12 atoms:
O 0.7678 0.2645 0.1612  1 Se 1.74
O 0.6811 0.6811 0.3553  1 Se 1.65
O 0.2239 0.2239 0.9614  1 Se 1.73
O 0.7355 0.2322 0.8388  1 Se 1.74
O 0.7761 0.7761 0.0386  1 Se 1.73
Se 0.3707 0.3707 0.8190  4 O 1.65-1.74
O 0.2645 0.7678 0.1612  1 Se 1.74
O 0.3189 0.3189 0.6447  1 Se 1.65
O 0.2322 0.7355 0.8388  1 Se 1.74
Cs 0.0000 0.0000 0.5000  10 O 3.18-3.41
Se 0.6293 0.6293 0.1810  4 O 1.65-1.74
Ti 0.0000 0.0000 0.0000  6 O 1.97-2.01

---

This record from Alexandria via LeMat-Bulk describes a relaxed structure of CsTl2Se2O6. The functional is PBE-GGA.

ΔE_f (raw): -9.92 eV/f.u.
DFT total energy: -4.75 eV/atom

Cell: 6.2528 6.2528 8.6422 Å, 68.79 68.79 60.00°
Closest atoms and distances in Å follow each position.
Fractional coordinates of all 11 atoms:
O 0.7308 0.2867 0.6958  1 Se 1.71
O 0.2867 0.2867 0.6958  1 Se 1.71
O 0.7133 0.2692 0.3042  1 Se 1.71
O 0.7133 0.7133 0.3042  1 Se 1.71
Se 0.5904 0.5904 0.2287  3 O 1.71
Tl 0.8181 0.8181 0.5457  3 O 2.76
O 0.2867 0.7308 0.6958  1 Se 1.71
O 0.2692 0.7133 0.3042  1 Se 1.71
Tl 0.1819 0.1819 0.4543  3 O 2.76
Cs 0.0000 0.0000 0.0000  6 O 3.12
Se 0.4096 0.4096 0.7713  3 O 1.71